VASP calculation (GGA-PBE) on a relaxed Dy2HoPu crystal.

abc: 4.9459 4.9539 4.9539
angles: 90.00 90.00 90.00
Closest atoms and distances in Å follow each position.
Fractional positions:
Dy 0.0000 0.0000 0.5000  4 Ho 3.50, 4 Pu 3.50, 4 Dy 3.50
Dy 0.0000 0.5000 0.0000  4 Ho 3.50, 4 Pu 3.50, 4 Dy 3.50
Ho 0.5000 0.0000 0.0000  8 Dy 3.50, 4 Pu 3.50
Pu 0.5000 0.5000 0.5000  8 Dy 3.50, 4 Ho 3.50

energy above the most stable polymorph in this dataset = 0.045 eV/atom
space-group type = P4/mmm, No. 123

VASP calculation (GGA-PBE) on a relaxed Dy4HoPu crystal.

abc: 3.4953 9.2889 10.5373
angles: 133.86 109.34 100.91
Closest atoms and distances in Å follow each position.
Fractional positions:
Dy 0.8311 0.6679 0.4973  2 Pu 3.48, 7 Dy 3.49-3.57, 3 Ho 3.53-3.54
Dy 0.1689 0.3321 0.5027  2 Pu 3.48, 7 Dy 3.49-3.57, 3 Ho 3.53-3.54
Dy 0.3430 0.6708 0.0075  7 Dy 3.47-3.54, 3 Pu 3.47-3.54, 2 Ho 3.53
Dy 0.6569 0.3292 0.9925  7 Dy 3.47-3.54, 3 Pu 3.47-3.54, 2 Ho 3.53
Ho 0.0000 0.0000 0.0000  2 Ho 3.50, 10 Dy 3.53-3.54
Pu 0.5000 0.0000 0.5000  10 Dy 3.47-3.54, 2 Pu 3.50

space-group type = P-1, No. 2

VASP calculation (GGA-PBE) on a relaxed Dy4Ho2Pu crystal.

abc: 6.9302 6.9302 6.6397
angles: 118.64 118.64 94.67
Closest atoms and distances in Å follow each position.
Fractional positions:
Pu 0.2143 0.7857 0.0000  4 Dy 3.25, 4 Ho 3.32
Ho 0.2142 0.7857 0.5000  2 Pu 3.32, 8 Dy 3.38-3.67
Ho 0.7142 0.2858 0.5000  2 Pu 3.32, 8 Dy 3.38-3.67
Dy 0.7603 0.8710 0.0000  1 Pu 3.25, 2 Ho 3.38, 5 Dy 3.46
Dy 0.1290 0.2397 0.0000  1 Pu 3.25, 2 Ho 3.38, 5 Dy 3.46
Dy 0.2995 0.3317 0.6313  1 Pu 3.25, 2 Ho 3.38, 5 Dy 3.46
Dy 0.6683 0.7005 0.3687  1 Pu 3.25, 2 Ho 3.38, 5 Dy 3.46

space-group type = I-42m, No. 121

It is found that the theoretical density values, taken in the order of the records, are 10.041; 9.586; 9.044 g cm⁻³.
It is found that the E_form values, taken in the order of the records, are 13.2; 6.2; 24.9 kJ/mol of atoms.